Compound: Pr5Cu2Sn
Source: Alexandria via LeMat-Bulk
Functional: PBE-GGA
Structure: relaxed

abc: 8.8921 8.8921 8.8921
angles: 124.64 124.64 82.14
Atoms (fractional coordinates):
1 Pr 0.0000 0.0000 0.0000
2 Pr 0.0128 0.5128 0.8114
3 Pr 0.2014 0.0128 0.5000
4 Pr 0.2986 0.7986 0.8114
5 Pr 0.4872 0.2986 0.5000
6 Pr 0.5000 0.5000 0.0000
7 Pr 0.5128 0.7014 0.5000
8 Pr 0.7014 0.2014 0.1886
9 Pr 0.7986 0.9872 0.5000
10 Pr 0.9872 0.4872 0.1886
11 Cu 0.1277 0.3723 0.5000
12 Cu 0.3723 0.8723 0.2446
13 Cu 0.6277 0.1277 0.7554
14 Cu 0.8723 0.6277 0.5000
15 Sn 0.2500 0.2500 0.0000
16 Sn 0.7500 0.7500 0.0000

Computed properties:
Symmetry: I4/mcm, No. 140
E_form in eV per atom: -0.281

=====

Compound: Pr2Cu4Sn5
Source: Alexandria via LeMat-Bulk
Functional: PBE-GGA
Structure: relaxed

abc: 13.1377 13.1377 13.1377
angles: 160.51 160.51 27.70
Atoms (fractional coordinates):
1 Pr 0.0000 0.0000 0.0000
2 Pr 0.3194 0.3194 0.0000
3 Cu 0.4112 0.9112 0.5000
4 Cu 0.4552 0.4552 0.0000
5 Cu 0.5489 0.5489 0.0000
6 Cu 0.9112 0.4112 0.5000
7 Sn 0.1073 0.6073 0.5000
8 Sn 0.2214 0.7214 0.5000
9 Sn 0.6073 0.1073 0.5000
10 Sn 0.7214 0.2214 0.5000
11 Sn 0.8539 0.8539 0.0000

Computed properties:
Symmetry: I4mm, No. 107
E_form in eV per atom: -0.261

=====

Compound: Pr5Cu2Sn2
Source: Alexandria via LeMat-Bulk
Functional: PBE-GGA
Structure: relaxed

abc: 8.9324 8.9324 8.1046
angles: 90.00 90.00 55.17
Atoms (fractional coordinates):
1 Pr 0.0000 0.0000 0.0000
2 Pr 0.0448 0.6949 0.6690
3 Pr 0.1949 0.5448 0.1690
4 Pr 0.3051 0.9552 0.6690
5 Pr 0.4552 0.8051 0.1690
6 Pr 0.5000 0.5000 0.5000
7 Pr 0.5448 0.1949 0.8310
8 Pr 0.6949 0.0448 0.3310
9 Pr 0.8051 0.4552 0.8310
10 Pr 0.9552 0.3051 0.3310
11 Cu 0.1116 0.8884 0.3828
12 Cu 0.3884 0.6116 0.8828
13 Cu 0.6116 0.3884 0.1172
14 Cu 0.8884 0.1116 0.6172
15 Sn 0.2099 0.2099 0.0000
16 Sn 0.2901 0.2901 0.5000
17 Sn 0.7099 0.7099 0.5000
18 Sn 0.7901 0.7901 0.0000

Computed properties:
Symmetry: Cmce, No. 64
E_form in eV per atom: -0.339

=====

Compound: PrCu2Sn
Source: Alexandria via LeMat-Bulk
Functional: PBE-GGA
Structure: relaxed

abc: 4.3161 6.9738 6.2861
angles: 90.00 110.02 90.00
Atoms (fractional coordinates):
1 Pr 0.0774 0.2500 0.1563
2 Pr 0.9226 0.7500 0.8437
3 Cu 0.2378 0.5790 0.4757
4 Cu 0.2378 0.9210 0.4757
5 Cu 0.7622 0.0790 0.5243
6 Cu 0.7622 0.4210 0.5243
7 Sn 0.3697 0.2500 0.7393
8 Sn 0.6303 0.7500 0.2607

Computed properties:
Symmetry: P2_1/m, No. 11
E_form in eV per atom: -0.199

=====

Compound: Pr7Cu2Sn2
Source: Alexandria via LeMat-Bulk
Functional: PBE-GGA
Structure: relaxed

abc: 7.1913 7.1913 7.1035
angles: 90.00 90.00 109.09
Atoms (fractional coordinates):
1 Pr 0.0000 0.0000 0.0000
2 Pr 0.0000 0.5000 0.2634
3 Pr 0.0000 0.5000 0.7366
4 Pr 0.5000 0.0000 0.2634
5 Pr 0.5000 0.0000 0.7366
6 Pr 0.5000 0.5000 0.2364
7 Pr 0.5000 0.5000 0.7636
8 Cu 0.2854 0.7146 0.0000
9 Cu 0.7146 0.2854 0.0000
10 Sn 0.1744 0.1744 0.5000
11 Sn 0.8256 0.8256 0.5000

Computed properties:
Symmetry: Cmmm, No. 65
E_form in eV per atom: -0.151

=====

Compound: Pr6Cu2Sn
Source: Alexandria via LeMat-Bulk
Functional: PBE-GGA
Structure: relaxed

abc: 8.8840 8.8840 8.8840
angles: 115.22 108.91 104.47
Atoms (fractional coordinates):
1 Pr 0.0354 0.2324 0.8030
2 Pr 0.1911 0.2851 0.4762
3 Pr 0.1911 0.7149 0.9060
4 Pr 0.3187 0.0177 0.6990
5 Pr 0.3187 0.6197 0.3010
6 Pr 0.4294 0.2324 0.1970
7 Pr 0.5706 0.7676 0.8030
8 Pr 0.6813 0.3803 0.6990
9 Pr 0.6813 0.9823 0.3010
10 Pr 0.8089 0.2851 0.0940
11 Pr 0.8089 0.7149 0.5238
12 Pr 0.9646 0.7676 0.1970
13 Cu 0.1146 0.6146 0.5000
14 Cu 0.3645 0.0000 0.3645
15 Cu 0.6355 0.0000 0.6355
16 Cu 0.8854 0.3854 0.5000
17 Sn 0.0000 0.0000 0.0000
18 Sn 0.5000 0.5000 0.0000

Computed properties:
Symmetry: Immm, No. 71
E_form in eV per atom: -0.225

=====

Q: The highest E_form belongs to which entry?
A: Pr7Cu2Sn2